Entry 1:
Compound: Li2TaIr
Source: Alexandria
Functional: PBE
Structure: relaxed

Properties
- Energy relative to the lowest polymorph listed for this composition: 2.109 kcal/mol of atoms

Cell lengths 3.8065, 2.9064, 6.6300 Å; angles 63.99, 90.00, 90.00 degrees
Last column: nearest neighbours and their distance in Å.
Atoms (fractional coordinates):
Li  0.0000  0.9919  0.0096  6 Li 2.70-2.91, 1 Ta 2.77, 4 Ir 2.93-2.94
Ir  0.5000  0.7744  0.7251  4 Ta 2.62-2.63, 2 Ir 2.91, 4 Li 2.93-2.94
Li  0.5000  0.2796  0.2204  6 Li 2.70-2.91, 2 Ir 2.95-3.01
Ta  0.0000  0.4540  0.5450  4 Ir 2.62-2.63, 1 Li 2.77, 2 Ta 2.91



Entry 2:
Compound: HfInHgCl6
Source: Alexandria
Functional: PBE
Structure: relaxed

Properties
- Raw formation energy: -1.2420 eV/atom

Cell lengths 7.3215, 7.3219, 6.4865 Å; angles 90.00, 90.00, 60.00 degrees
Last column: nearest neighbours and their distance in Å.
Atoms (fractional coordinates):
Hf  0.3334  0.3333  0.5000  6 Cl 2.47
Cl  0.6050  0.3400  0.7206  1 Hf 2.47
Hg  0.6666  0.6667  0.5000  6 Cl 3.01
Cl  0.6050  0.0550  0.2794  1 Hf 2.47
In  0.9999  0.0000  0.0000  6 Cl 3.26
Cl  0.3399  0.6049  0.2794  1 Hf 2.47
Cl  0.0550  0.6050  0.7206  1 Hf 2.47
Cl  0.0550  0.3400  0.2794  1 Hf 2.47
Cl  0.3400  0.0551  0.7206  1 Hf 2.47